No. 1
First-principles (PBE) data for crystalline CdMo2Rh at its relaxed geometry, as listed in Alexandria via LeMat-Bulk.

Lattice parameters (Å, degrees): 2.767 3.994 5.951 90.00 90.00 90.00
Fractional positions:
Cd (0.000, 0.000, 0.000)
Mo (0.000, 0.000, 0.512)
Mo (0.500, 0.500, 0.278)
Rh (0.500, 0.500, 0.739)

Values from the calculation:
M_tot, μB/atom: 0.0000
D(E_F), states/eV/f.u.: 4.3
ΔH_f (0 K), eV per atom: 0.222
SG: Pmm2 (25)


No. 2
First-principles (PBE) data for crystalline CdMo3Rh at its relaxed geometry, as listed in Alexandria via LeMat-Bulk.

Lattice parameters (Å, degrees): 4.727 4.727 4.727 90.00 90.00 90.00
Fractional positions:
Cd (0.000, 0.000, 0.000)
Mo (0.000, 0.500, 0.500)
Mo (0.500, 0.000, 0.500)
Mo (0.500, 0.500, 0.000)
Rh (0.500, 0.500, 0.500)

Values from the calculation:
M_tot, μB/atom: 0.0000
D(E_F), states/eV/f.u.: 5.6
ΔH_f (0 K), eV per atom: 1.540
Energy above the most stable polymorph in this dataset, eV/atom: 0.0000
SG: Pm-3m (221)


No. 3
First-principles (PBE) data for crystalline Cd2MoRh at its relaxed geometry, as listed in Alexandria via LeMat-Bulk.

Lattice parameters (Å, degrees): 4.844 4.844 4.844 127.50 127.50 77.43
Fractional positions:
Cd (0.000, 0.000, 0.000)
Cd (0.750, 0.250, 0.500)
Mo (0.250, 0.750, 0.500)
Rh (0.500, 0.500, 0.000)

Values from the calculation:
M_tot, μB/atom: 0.1917
D(E_F), states/eV/f.u.: 3.3
ΔH_f (0 K), eV per atom: 0.310
Energy above the most stable polymorph in this dataset, eV/atom: 0.2988
SG: I-4m2 (119)


No. 4
First-principles (PBE) data for crystalline CdMoRh2 at its relaxed geometry, as listed in Alexandria via LeMat-Bulk.

Lattice parameters (Å, degrees): 2.862 2.862 7.732 90.00 90.00 90.00
Fractional positions:
Cd (0.000, 0.000, 0.000)
Mo (0.000, 0.000, 0.500)
Rh (0.500, 0.500, 0.270)
Rh (0.500, 0.500, 0.730)

Values from the calculation:
M_tot, μB/atom: 0.0000
D(E_F), states/eV/f.u.: 1.6
ΔH_f (0 K), eV per atom: -0.186
SG: P4/mmm (123)


No. 5
First-principles (PBE) data for crystalline Cd2MoRh at its relaxed geometry, as listed in Alexandria via LeMat-Bulk.

Lattice parameters (Å, degrees): 4.906 4.906 2.914 90.00 90.00 90.00
Fractional positions:
Cd (0.000, 0.500, 0.000)
Cd (0.500, 0.000, 0.000)
Mo (0.000, 0.000, 0.500)
Rh (0.500, 0.500, 0.500)

Values from the calculation:
M_tot, μB/atom: 0.0509
D(E_F), states/eV/f.u.: 5.4
ΔH_f (0 K), eV per atom: 0.432
Energy above the most stable polymorph in this dataset, eV/atom: 0.4217
SG: P4/mmm (123)


No. 6
First-principles (PBE) data for crystalline CdMo2Rh at its relaxed geometry, as listed in Alexandria via LeMat-Bulk.

Lattice parameters (Å, degrees): 5.115 5.115 2.752 90.00 90.00 116.38
Fractional positions:
Cd (0.000, 0.000, 0.000)
Mo (0.000, 0.500, 0.500)
Mo (0.500, 0.000, 0.500)
Rh (0.500, 0.500, 0.000)

Values from the calculation:
M_tot, μB/atom: 0.0000
D(E_F), states/eV/f.u.: 3.4
ΔH_f (0 K), eV per atom: 0.251
SG: Cmmm (65)


No. 7
First-principles (PBE) data for crystalline CdMoRh3 at its relaxed geometry, as listed in Alexandria via LeMat-Bulk.

Lattice parameters (Å, degrees): 4.695 4.695 4.695 90.00 90.00 90.00
Fractional positions:
Cd (0.000, 0.000, 0.000)
Mo (0.500, 0.500, 0.500)
Rh (0.000, 0.500, 0.500)
Rh (0.500, 0.000, 0.500)
Rh (0.500, 0.500, 0.000)

Values from the calculation:
M_tot, μB/atom: 0.0000
D(E_F), states/eV/f.u.: 3.6
ΔH_f (0 K), eV per atom: 0.888
Energy above the most stable polymorph in this dataset, eV/atom: 0.0000
SG: Pm-3m (221)


No. 8
First-principles (PBE) data for crystalline CdMo2Rh3 at its relaxed geometry, as listed in Alexandria via LeMat-Bulk.

Lattice parameters (Å, degrees): 2.821 2.821 11.695 90.00 90.00 90.00
Fractional positions:
Cd (0.000, 0.000, 0.000)
Mo (0.000, 0.000, 0.335)
Mo (0.000, 0.000, 0.665)
Rh (0.500, 0.500, 0.182)
Rh (0.500, 0.500, 0.500)
Rh (0.500, 0.500, 0.818)

Values from the calculation:
M_tot, μB/atom: 0.0000
D(E_F), states/eV/f.u.: 4.5
ΔH_f (0 K), eV per atom: -0.174
SG: P4/mmm (123)


No. 9
First-principles (PBE) data for crystalline CdMo4Rh at its relaxed geometry, as listed in Alexandria via LeMat-Bulk.

Lattice parameters (Å, degrees): 5.232 5.232 5.232 60.00 60.00 60.00
Fractional positions:
Cd (0.000, 0.000, 0.000)
Mo (0.122, 0.626, 0.626)
Mo (0.626, 0.122, 0.626)
Mo (0.626, 0.626, 0.122)
Mo (0.626, 0.626, 0.626)
Rh (0.250, 0.250, 0.250)

Values from the calculation:
M_tot, μB/atom: 0.0000
D(E_F), states/eV/f.u.: 4.0
ΔH_f (0 K), eV per atom: 0.349
SG: F-43m (216)


No. 10
First-principles (PBE) data for crystalline Cd2MoRh at its relaxed geometry, as listed in Alexandria via LeMat-Bulk.

Lattice parameters (Å, degrees): 2.948 4.826 4.913 90.00 90.00 90.00
Fractional positions:
Cd (0.000, 0.000, 0.000)
Cd (0.500, 0.500, 0.000)
Mo (0.000, 0.500, 0.500)
Rh (0.500, 0.000, 0.500)

Values from the calculation:
M_tot, μB/atom: 0.0018
D(E_F), states/eV/f.u.: 3.0
ΔH_f (0 K), eV per atom: 0.332
Energy above the most stable polymorph in this dataset, eV/atom: 0.3214
SG: Pmmm (47)


No. 11
First-principles (PBE) data for crystalline Cd2MoRh at its relaxed geometry, as listed in Alexandria via LeMat-Bulk.

Lattice parameters (Å, degrees): 9.582 9.582 9.582 17.54 17.54 17.54
Fractional positions:
Cd (0.247, 0.247, 0.247)
Cd (0.753, 0.753, 0.753)
Mo (0.000, 0.000, 0.000)
Rh (0.500, 0.500, 0.500)

Values from the calculation:
M_tot, μB/atom: 0.1868
D(E_F), states/eV/f.u.: 4.7
ΔH_f (0 K), eV per atom: 0.317
Energy above the most stable polymorph in this dataset, eV/atom: 0.3067
SG: R-3m (166)


No. 12
First-principles (PBE) data for crystalline Cd2MoRh at its relaxed geometry, as listed in Alexandria via LeMat-Bulk.

Lattice parameters (Å, degrees): 5.733 5.733 5.733 150.88 129.64 59.23
Fractional positions:
Cd (0.238, 0.238, 0.000)
Cd (0.762, 0.762, 0.000)
Mo (0.500, 0.000, 0.500)
Rh (0.000, 0.500, 0.500)

Values from the calculation:
M_tot, μB/atom: 0.0001
D(E_F), states/eV/f.u.: 3.4
ΔH_f (0 K), eV per atom: 0.321
Energy above the most stable polymorph in this dataset, eV/atom: 0.3101
SG: Immm (71)


No. 13
First-principles (PBE) data for crystalline CdMo2Rh at its relaxed geometry, as listed in Alexandria via LeMat-Bulk.

Lattice parameters (Å, degrees): 2.776 2.776 8.434 90.00 90.00 90.00
Fractional positions:
Cd (0.000, 0.000, 0.000)
Mo (0.500, 0.500, 0.271)
Mo (0.500, 0.500, 0.729)
Rh (0.000, 0.000, 0.500)

Values from the calculation:
M_tot, μB/atom: 0.0000
D(E_F), states/eV/f.u.: 1.9
ΔH_f (0 K), eV per atom: 0.163
SG: P4/mmm (123)


No. 14
First-principles (PBE) data for crystalline Cd2MoRh at its relaxed geometry, as listed in Alexandria via LeMat-Bulk.

Lattice parameters (Å, degrees): 2.830 4.736 5.276 90.00 100.44 90.00
Fractional positions:
Cd (0.200, 0.000, 0.256)
Cd (0.800, 0.000, 0.744)
Mo (0.500, 0.500, 0.000)
Rh (0.000, 0.500, 0.500)

Values from the calculation:
M_tot, μB/atom: 0.0000
D(E_F), states/eV/f.u.: 3.1
ΔH_f (0 K), eV per atom: 0.317
Energy above the most stable polymorph in this dataset, eV/atom: 0.3064
SG: P2/m (10)


No. 15
First-principles (PBE) data for crystalline CdMo2Rh at its relaxed geometry, as listed in Alexandria via LeMat-Bulk.

Lattice parameters (Å, degrees): 4.882 4.882 4.882 130.91 130.91 71.96
Fractional positions:
Cd (0.000, 0.000, 0.000)
Mo (0.250, 0.750, 0.500)
Mo (0.500, 0.500, 0.000)
Rh (0.750, 0.250, 0.500)

Values from the calculation:
M_tot, μB/atom: 0.0000
D(E_F), states/eV/f.u.: 4.4
ΔH_f (0 K), eV per atom: 0.310
SG: I-4m2 (119)